(1)
# TaTe2Pb2 | the Alexandria database | PBEsol | relaxed
# ΔE_f (raw) = 646 meV/atom
# calculated total energy = -48.7 eV for the cell shown
# crystal system = tetragonal
data_TaTe2Pb2
_cell_length_a 3.926
_cell_length_b 3.926
_cell_length_c 18.190
_cell_angle_alpha 90.00
_cell_angle_beta 90.00
_cell_angle_gamma 90.00
_symmetry_space_group_name_H-M 'I 4/m m m'
_symmetry_Int_Tables_number 139
_symmetry_space_group_name_Hall '-I 4 2'
loop_
_atom_site_label
_atom_site_type_symbol
_atom_site_fract_x
_atom_site_fract_y
_atom_site_fract_z
_atom_site_occupancy
Ta1 Ta 0.000 0.000 0.000 1
Te1 Te 0.000 0.000 0.416 1
Pb1 Pb 0.000 0.500 0.250 1

***

(2)
# Ta2TePb | the Alexandria database | PBEsol | relaxed
# ΔE_f (raw) = 149 meV/atom
# calculated total energy = -96.1 eV for the cell shown
# crystal system = trigonal
data_Ta2TePb
_cell_length_a 3.2943
_cell_length_b 3.2943
_cell_length_c 30.0723
_cell_angle_alpha 90.00
_cell_angle_beta 90.00
_cell_angle_gamma 120.00
_symmetry_space_group_name_H-M 'R 3 m'
_symmetry_Int_Tables_number 160
_symmetry_space_group_name_Hall 'R 3 -2"'
loop_
_atom_site_label
_atom_site_type_symbol
_atom_site_fract_x
_atom_site_fract_y
_atom_site_fract_z
_atom_site_occupancy
Ta1 Ta 0.0000 0.0000 0.0000 1
Ta2 Ta 0.0000 0.0000 0.2665 1
Te1 Te 0.0000 0.0000 0.7351 1
Pb1 Pb 0.0000 0.0000 0.5168 1

***

(3)
# TaTe2Pb | the Alexandria database | PBEsol | relaxed
# ΔE_f (raw) = -113 meV/atom
# calculated total energy = -24.1 eV for the cell shown
# crystal system = tetragonal
data_TaTe2Pb
_cell_length_a 3.449
_cell_length_b 3.449
_cell_length_c 8.021
_cell_angle_alpha 90.00
_cell_angle_beta 90.00
_cell_angle_gamma 90.00
_symmetry_space_group_name_H-M 'P 4/m m m'
_symmetry_Int_Tables_number 123
_symmetry_space_group_name_Hall '-P 4 2'
loop_
_atom_site_label
_atom_site_type_symbol
_atom_site_fract_x
_atom_site_fract_y
_atom_site_fract_z
_atom_site_occupancy
Ta1 Ta 0.000 0.000 0.000 1
Te1 Te 0.500 0.500 0.202 1
Pb1 Pb 0.000 0.000 0.500 1

***

(4)
# TaTe2Pb | the Alexandria database | PBEsol | relaxed
# ΔE_f (raw) = 529 meV/atom
# calculated total energy = -64.5 eV for the cell shown
# crystal system = trigonal
data_TaTe2Pb
_cell_length_a 3.1240
_cell_length_b 3.1240
_cell_length_c 37.7225
_cell_angle_alpha 90.00
_cell_angle_beta 90.00
_cell_angle_gamma 120.00
_symmetry_space_group_name_H-M 'R -3 m'
_symmetry_Int_Tables_number 166
_symmetry_space_group_name_Hall '-R 3 2"'
loop_
_atom_site_label
_atom_site_type_symbol
_atom_site_fract_x
_atom_site_fract_y
_atom_site_fract_z
_atom_site_occupancy
Ta1 Ta 0.0000 0.0000 0.0000 1
Te1 Te 0.0000 0.0000 0.0749 1
Pb1 Pb 0.0000 0.0000 0.5000 1

***

| no. | DOS(E_F) (states/eV per cell) |
| --- | --- |
| 1 | 5.9 |
| 2 | 8.0 |
| 3 | 1.6 |
| 4 | 15.4 |